Record 1
CdReAs (SCAN, single point on PBEsol structure); VASP energy = -120.99 eV/f.u.; energy above the most stable polymorph in this dataset = 0.00 eV/f.u.; E_form = 0.2382 eV/atom; spin magnetization = 0.0 μB per formula unit; space-group type = P3m1 (156); crystal system = trigonal
1.0
3.0095 0.0000 0.0000
-1.5047 2.6063 0.0000
0.0000 0.0000 6.7688
Cd Re As
1 1 1
direct
0.0000 0.0000 0.0000
0.3333 0.6667 0.6561
0.6667 0.3333 0.3983



Record 2
CdReAs2 (SCAN, single point on PBEsol structure); VASP energy = -137.96 eV/f.u.; E_form = 0.9836 eV/atom; spin magnetization = 0.0 μB per formula unit; space-group type = F-43m (216); crystal system = cubic
1.0
0.0000 3.2448 3.2448
3.2448 0.0000 3.2448
3.2448 3.2448 0.0000
Cd Re As
1 1 2
direct
0.0000 0.0000 0.0000
0.2500 0.2500 0.2500
0.5000 0.5000 0.5000
0.7500 0.7500 0.7500



Record 3
CdReAs (SCAN, single point on PBEsol structure); VASP energy = -120.25 eV/f.u.; energy above the most stable polymorph in this dataset = 0.74 eV/f.u.; E_form = 0.4841 eV/atom; spin magnetization = 0.0 μB per formula unit; space-group type = Fmm2 (42); crystal system = orthorhombic
1.0
0.0000 2.4040 7.9070
1.5178 0.0000 7.9070
1.5178 2.4040 0.0000
Cd Re As
1 1 1
direct
0.0000 0.0000 0.0000
0.3434 0.3434 0.6566
0.7226 0.7226 0.2774



Record 4
CdReAs2 (SCAN, single point on PBEsol structure); VASP energy = -140.40 eV/f.u.; E_form = 0.3726 eV/atom; spin magnetization = 0.0 μB per formula unit; space-group type = I-42d (122); crystal system = tetragonal
1.0
-2.9587 2.9587 5.5576
2.9587 -2.9587 5.5576
2.9587 2.9587 -5.5576
Cd Re As
2 2 4
direct
0.0000 0.0000 0.0000
0.7500 0.2500 0.5000
0.2500 0.7500 0.5000
0.5000 0.5000 0.0000
0.1707 0.6250 0.0457
0.3750 0.4207 0.5457
0.5793 0.1250 0.9543
0.8750 0.8293 0.4543



- What is the spin magnetization in the third record?
  0.0 μB per formula unit